A relaxed structure of NbRu, computed with GGA-PBE.

abc: 7.994 7.994 7.994
angles: 90.00 90.00 90.00
Space group I-43m (No. 217)
Unique sites:
Nb (0.134, 0.134, 0.134)
Ru (0.171, 0.171, 0.829)

DFT formation energy: 2.9 eV per formula unit

---

A relaxed structure of Ac2MgGe3Rh4, computed with GGA-PBE.

abc: 4.290 4.290 10.862
angles: 90.00 90.00 90.00
Space group P-4m2 (No. 115)
Unique sites:
Ac (0.000, 0.500, 0.247)
Mg (0.000, 0.000, 0.500)
Ge (0.000, 0.500, 0.878)
Ge (0.500, 0.500, 0.500)
Rh (0.000, 0.000, 0.000)
Rh (0.000, 0.500, 0.641)
Rh (0.500, 0.500, 0.000)

DFT formation energy: -8.0 eV per formula unit

---

A relaxed structure of La2CrMo, computed with GGA-PBE.

abc: 3.801 5.441 9.696
angles: 90.00 90.00 90.00
Space group Cmmm (No. 65)
Unique sites:
La (0.000, 0.000, 0.226)
Cr (0.000, 0.500, 0.500)
Mo (0.000, 0.500, 0.000)

DFT formation energy: 2.9 eV per formula unit
Energy above the lowest structure with this stoichiometry: 139.5 kJ/mol of formula units